The following is a GGA-PBE calculation of a relaxed Pu2ScTl3Te6 crystal, from Alexandria.

Its total energy is -0.217 Ha/atom. The uncorrected formation energy is -821 meV/atom. The density of states at the Fermi level is 27.048 states/eV/f.u.

Geometry as CIF:
```
data_Pu2ScTl3Te6
_space_group_name_H-M_alt 'P 1'
_space_group_IT_number 1
_cell_length_a 7.6602
_cell_length_b 7.6602
_cell_length_c 8.5185
_cell_angle_alpha 98.63
_cell_angle_beta 98.63
_cell_angle_gamma 119.93
loop_
_space_group_symop_operation_xyz
'x,y,z'
loop_
_atom_site_label
_atom_site_type_symbol
_atom_site_fract_x
_atom_site_fract_y
_atom_site_fract_z
_atom_site_occupancy
Pu1 Pu 0.1659 0.8341 0.0000 1
Pu2 Pu 0.8341 0.1659 0.0000 1
Sc1 Sc 0.5000 0.5000 0.0000 1
Tl1 Tl 0.0000 0.0000 0.5000 1
Tl2 Tl 0.3288 0.6712 0.5000 1
Tl3 Tl 0.6712 0.3288 0.5000 1
Te1 Te 0.1107 0.4305 0.7911 1
Te2 Te 0.2514 0.2514 0.2131 1
Te3 Te 0.4305 0.1107 0.7911 1
Te4 Te 0.5695 0.8893 0.2089 1
Te5 Te 0.7486 0.7486 0.7869 1
Te6 Te 0.8893 0.5695 0.2089 1
```